(1)
{
  "formula": "PmAgPbBr6",
  "functional": "PBE",
  "state": "optimized geometry",
  "lattice_angstrom": [[7.296, 0.000, 0.000], [-3.648, 6.318, 0.000], [0.000, 0.000, 13.541]],
  "species": ["Pm", "Pm", "Ag", "Ag", "Pb", "Pb", "Br", "Br", "Br", "Br", "Br", "Br", "Br", "Br", "Br", "Br", "Br", "Br"],
  "fractional_positions": [[0.333, 0.667, 0.250], [0.667, 0.333, 0.750], [0.333, 0.667, 0.750], [0.667, 0.333, 0.250], [0.000, 0.000, 0.000], [0.000, 0.000, 0.500], [0.001, 0.348, 0.128], [0.001, 0.653, 0.372], [0.347, 0.348, 0.372], [0.347, 0.999, 0.128], [0.348, 0.001, 0.628], [0.348, 0.347, 0.872], [0.652, 0.653, 0.128], [0.652, 0.999, 0.372], [0.653, 0.001, 0.872], [0.653, 0.652, 0.628], [0.999, 0.347, 0.628], [0.999, 0.652, 0.872]],
  "total_magnetization_mub_per_fu": 0.00,
  "energy_ev_per_atom": -3.5606,
  "raw_formation_energy_ev_per_atom": -1.189
}


(2)
{
  "formula": "Ag2PtPbBr8",
  "functional": "PBE",
  "state": "optimized geometry",
  "lattice_angstrom": [[6.892, 0.000, 0.000], [1.198, 7.042, 0.000], [0.270, 2.966, 8.127]],
  "species": ["Ag", "Ag", "Pt", "Pb", "Br", "Br", "Br", "Br", "Br", "Br", "Br", "Br"],
  "fractional_positions": [[0.010, 0.197, 0.295], [0.990, 0.803, 0.705], [0.500, 0.500, 0.000], [0.500, 0.500, 0.500], [0.102, 0.770, 0.418], [0.178, 0.732, 0.983], [0.350, 0.311, 0.851], [0.403, 0.261, 0.270], [0.597, 0.739, 0.730], [0.650, 0.689, 0.149], [0.822, 0.268, 0.017], [0.898, 0.230, 0.582]],
  "total_magnetization_mub_per_fu": 0.00,
  "energy_ev_per_atom": -2.8338,
  "raw_formation_energy_ev_per_atom": -0.431
}


(3)
{
  "formula": "PuAg2PbBr8",
  "functional": "PBE",
  "state": "optimized geometry",
  "lattice_angstrom": [[7.066, 0.000, 0.000], [1.525, 7.184, 0.000], [0.010, 2.634, 8.465]],
  "species": ["Pu", "Ag", "Ag", "Pb", "Br", "Br", "Br", "Br", "Br", "Br", "Br", "Br"],
  "fractional_positions": [[0.000, 0.000, 0.000], [0.467, 0.340, 0.684], [0.533, 0.660, 0.316], [0.000, 0.000, 0.500], [0.097, 0.246, 0.712], [0.124, 0.213, 0.177], [0.364, 0.764, 0.028], [0.402, 0.742, 0.577], [0.598, 0.258, 0.423], [0.636, 0.236, 0.972], [0.876, 0.787, 0.823], [0.903, 0.754, 0.288]],
  "total_magnetization_mub_per_fu": 3.97,
  "energy_ev_per_atom": -3.9635,
  "raw_formation_energy_ev_per_atom": -0.870
}


(4)
{
  "formula": "RbAg2PbBr8",
  "functional": "PBE",
  "state": "optimized geometry",
  "lattice_angstrom": [[-3.861, 3.861, 6.826], [3.861, -3.861, 6.826], [3.861, 3.861, -6.826]],
  "species": ["Rb", "Ag", "Ag", "Pb", "Br", "Br", "Br", "Br", "Br", "Br", "Br", "Br"],
  "fractional_positions": [[0.000, 0.000, 0.000], [0.500, 0.500, 0.000], [0.750, 0.250, 0.500], [0.250, 0.750, 0.500], [0.030, 0.390, 0.960], [0.198, 0.464, 0.626], [0.428, 0.802, 0.266], [0.430, 0.070, 0.040], [0.536, 0.162, 0.734], [0.610, 0.570, 0.640], [0.838, 0.572, 0.374], [0.930, 0.970, 0.360]],
  "total_magnetization_mub_per_fu": 0.00,
  "energy_ev_per_atom": -2.5206,
  "raw_formation_energy_ev_per_atom": -0.540
}


(5)
{
  "formula": "Rb2AgPbBr6",
  "functional": "PBE",
  "state": "optimized geometry",
  "lattice_angstrom": [[-4.001, 4.001, 5.682], [4.001, -4.001, 5.682], [4.001, 4.001, -5.682]],
  "species": ["Rb", "Rb", "Ag", "Pb", "Br", "Br", "Br", "Br", "Br", "Br"],
  "fractional_positions": [[0.250, 0.750, 0.500], [0.750, 0.250, 0.500], [0.000, 0.000, 0.000], [0.500, 0.500, 0.000], [0.244, 0.244, 0.489], [0.244, 0.756, 0.000], [0.245, 0.245, 0.000], [0.755, 0.755, 0.000], [0.756, 0.244, 0.000], [0.756, 0.756, 0.511]],
  "total_magnetization_mub_per_fu": 0.00,
  "energy_ev_per_atom": -2.9000,
  "raw_formation_energy_ev_per_atom": -1.047,
  "polymorph_energy_mev_per_atom": 10
}


(6)
{
  "formula": "Rb2AgPbBr6",
  "functional": "PBE",
  "state": "optimized geometry",
  "lattice_angstrom": [[7.868, 0.000, 0.000], [0.000, 8.051, 0.000], [-7.829, 0.000, 11.237]],
  "species": ["Rb", "Rb", "Rb", "Rb", "Ag", "Ag", "Pb", "Pb", "Br", "Br", "Br", "Br", "Br", "Br", "Br", "Br", "Br", "Br", "Br", "Br"],
  "fractional_positions": [[0.233, 0.055, 0.249], [0.233, 0.445, 0.749], [0.767, 0.555, 0.251], [0.767, 0.945, 0.751], [0.000, 0.000, 0.500], [0.000, 0.500, 0.000], [0.500, 0.000, 0.000], [0.500, 0.500, 0.500], [0.169, 0.216, 0.964], [0.169, 0.284, 0.464], [0.251, 0.706, 0.967], [0.251, 0.794, 0.467], [0.311, 0.008, 0.744], [0.311, 0.492, 0.244], [0.689, 0.508, 0.756], [0.689, 0.992, 0.256], [0.749, 0.206, 0.533], [0.749, 0.294, 0.033], [0.831, 0.716, 0.536], [0.831, 0.784, 0.036]],
  "total_magnetization_mub_per_fu": 0.00,
  "energy_ev_per_atom": -2.9102,
  "raw_formation_energy_ev_per_atom": -1.057,
  "polymorph_energy_mev_per_atom": 0
}


(7)
{
  "formula": "RbAgPbBr4",
  "functional": "PBE",
  "state": "optimized geometry",
  "lattice_angstrom": [[7.371, 0.000, 0.000], [0.000, 7.815, 0.000], [-2.926, 0.000, 8.943]],
  "species": ["Rb", "Rb", "Ag", "Ag", "Pb", "Pb", "Br", "Br", "Br", "Br", "Br", "Br", "Br", "Br"],
  "fractional_positions": [[0.233, 0.250, 0.052], [0.767, 0.750, 0.948], [0.223, 0.750, 0.323], [0.777, 0.250, 0.677], [0.214, 0.250, 0.553], [0.786, 0.750, 0.447], [0.026, 0.514, 0.721], [0.026, 0.986, 0.721], [0.462, 0.750, 0.155], [0.487, 0.750, 0.596], [0.513, 0.250, 0.404], [0.538, 0.250, 0.845], [0.974, 0.014, 0.279], [0.974, 0.486, 0.279]],
  "total_magnetization_mub_per_fu": 0.00,
  "energy_ev_per_atom": -2.9997,
  "raw_formation_energy_ev_per_atom": -0.968
}


(8)
{
  "formula": "Rb2AgPbBr",
  "functional": "PBE",
  "state": "optimized geometry",
  "lattice_angstrom": [[6.579, 0.000, 0.000], [0.000, 6.579, 0.000], [0.000, 0.000, 5.332]],
  "species": ["Rb", "Rb", "Ag", "Pb", "Br"],
  "fractional_positions": [[0.000, 0.500, 0.000], [0.500, 0.000, 0.000], [0.000, 0.000, 0.500], [0.500, 0.500, 0.500], [0.000, 0.000, 0.000]],
  "total_magnetization_mub_per_fu": 1.71,
  "energy_ev_per_atom": -2.1969,
  "raw_formation_energy_ev_per_atom": -0.163
}


(9)
{
  "formula": "Rb3Ag2PbBr6",
  "functional": "PBE",
  "state": "optimized geometry",
  "lattice_angstrom": [[8.478, 0.000, 0.000], [-4.239, 7.342, 0.000], [0.000, 0.000, 8.555]],
  "species": ["Rb", "Rb", "Rb", "Ag", "Ag", "Pb", "Br", "Br", "Br", "Br", "Br", "Br"],
  "fractional_positions": [[0.000, 0.000, 0.000], [0.333, 0.667, 0.604], [0.667, 0.333, 0.396], [0.333, 0.667, 0.148], [0.667, 0.333, 0.852], [0.000, 0.000, 0.500], [0.167, 0.334, 0.288], [0.167, 0.833, 0.288], [0.334, 0.167, 0.712], [0.666, 0.833, 0.288], [0.833, 0.167, 0.712], [0.833, 0.666, 0.712]],
  "total_magnetization_mub_per_fu": 0.00,
  "energy_ev_per_atom": -2.7941,
  "raw_formation_energy_ev_per_atom": -0.932
}


(10)
{
  "formula": "Rb2AgPbBr5",
  "functional": "PBE",
  "state": "optimized geometry",
  "lattice_angstrom": [[2.288, -10.032, 0.000], [2.288, 10.032, 0.000], [0.000, 0.000, 14.379]],
  "species": ["Rb", "Rb", "Rb", "Rb", "Ag", "Ag", "Pb", "Pb", "Br", "Br", "Br", "Br", "Br", "Br", "Br", "Br", "Br", "Br"],
  "fractional_positions": [[0.109, 0.891, 0.500], [0.127, 0.873, 0.129], [0.873, 0.127, 0.629], [0.891, 0.109, 0.000], [0.459, 0.541, 0.262], [0.541, 0.459, 0.762], [0.208, 0.792, 0.830], [0.792, 0.208, 0.330], [0.052, 0.948, 0.860], [0.286, 0.714, 0.474], [0.306, 0.694, 0.185], [0.355, 0.645, 0.817], [0.498, 0.502, 0.590], [0.502, 0.498, 0.090], [0.645, 0.355, 0.317], [0.694, 0.306, 0.685], [0.714, 0.286, 0.974], [0.948, 0.052, 0.360]],
  "total_magnetization_mub_per_fu": 0.00,
  "energy_ev_per_atom": -3.0524,
  "raw_formation_energy_ev_per_atom": -1.179
}


(11)
{
  "formula": "Rb2Ag2PbBr6",
  "functional": "PBE",
  "state": "optimized geometry",
  "lattice_angstrom": [[7.194, -4.114, 0.000], [7.194, 4.114, 0.000], [-3.970, 0.000, 7.122]],
  "species": ["Rb", "Rb", "Ag", "Ag", "Pb", "Br", "Br", "Br", "Br", "Br", "Br"],
  "fractional_positions": [[0.236, 0.236, 0.190], [0.764, 0.764, 0.810], [0.442, 0.442, 0.792], [0.558, 0.558, 0.208], [0.000, 0.000, 0.500], [0.185, 0.689, 0.185], [0.234, 0.234, 0.610], [0.311, 0.815, 0.815], [0.689, 0.185, 0.185], [0.766, 0.766, 0.390], [0.815, 0.311, 0.815]],
  "total_magnetization_mub_per_fu": 0.00,
  "energy_ev_per_atom": -2.9399,
  "raw_formation_energy_ev_per_atom": -0.996
}


(12)
{
  "formula": "Rb2Ag2PbBr7",
  "functional": "PBE",
  "state": "optimized geometry",
  "lattice_angstrom": [[-2.717, 2.717, 13.712], [2.717, -2.717, 13.712], [2.717, 2.717, -13.712]],
  "species": ["Rb", "Rb", "Ag", "Ag", "Pb", "Br", "Br", "Br", "Br", "Br", "Br", "Br"],
  "fractional_positions": [[0.177, 0.177, 0.000], [0.823, 0.823, 0.000], [0.401, 0.401, 0.000], [0.599, 0.599, 0.000], [0.000, 0.000, 0.000], [0.080, 0.580, 0.500], [0.303, 0.303, 0.000], [0.420, 0.920, 0.500], [0.500, 0.500, 0.000], [0.580, 0.080, 0.500], [0.697, 0.697, 0.000], [0.920, 0.420, 0.500]],
  "total_magnetization_mub_per_fu": 0.00,
  "energy_ev_per_atom": -2.7670,
  "raw_formation_energy_ev_per_atom": -0.846
}